Entry from Alexandria via LeMat-Bulk: a relaxed structure of La2YMg3 (PBE).

V, Å³/atom: 29.86
E_form, eV per atom: -0.109
Symmetry: P4/mmm
Spin magnetization, μB per atom: 0.00
DOS at the Fermi energy, states/eV/cell: 7.285

Geometry as CIF:
```
data_La2YMg3
_chemical_formula_sum 'La2 Y1 Mg3'
_cell_length_a 3.897
_cell_length_b 3.897
_cell_length_c 11.795
_cell_angle_alpha 90.00
_cell_angle_beta 90.00
_cell_angle_gamma 90.00
_space_group_name_H-M_alt 'P 1'
_space_group_IT_number 1
loop_
_space_group_symop_operation_xyz
'x,y,z'
loop_
_atom_site_label
_atom_site_type_symbol
_atom_site_fract_x
_atom_site_fract_y
_atom_site_fract_z
Mg1 Mg 0.000 0.000 0.346
La1 La 0.500 0.500 0.172
Mg2 Mg 0.000 0.000 0.654
La2 La 0.500 0.500 0.828
Mg3 Mg 0.000 0.000 0.000
Y1 Y 0.500 0.500 0.500
```